[1]
Density functional theory data (PBE) for an optimized crystal structure of BaNa.

Results
SG: Fd-3m, No. 227
Formation enthalpy at 0 K in kJ per mole of atoms: 15.3

Structure (POSCAR):
```
BaNa
1.0
0.0000 9.0524 9.0524
9.0524 0.0000 9.0524
9.0524 9.0524 0.0000
Na Ba
12 12
direct
0.2252 0.7748 0.7748
0.2252 0.2252 0.7748
0.4752 0.0248 0.4752
0.7748 0.2252 0.7748
0.2252 0.7748 0.2252
0.0248 0.4752 0.4752
0.7748 0.7748 0.2252
0.0248 0.4752 0.0248
0.4752 0.0248 0.0248
0.0248 0.0248 0.4752
0.7748 0.2252 0.2252
0.4752 0.4752 0.0248
0.8435 0.8435 0.8435
0.4065 0.7806 0.4065
0.8435 0.4694 0.8435
0.6250 0.6250 0.1250
0.4065 0.4065 0.4065
0.6250 0.6250 0.6250
0.6250 0.1250 0.6250
0.4065 0.4065 0.7806
0.8435 0.8435 0.4694
0.1250 0.6250 0.6250
0.4694 0.8435 0.8435
0.7806 0.4065 0.4065
```

***

[2]
Density functional theory data (PBE) for an optimized crystal structure of KGaP2Cl.

Results
ΔE_f (raw) in eV/f.u.: 4.7
SG: P4/mmm, No. 123

Structure (POSCAR):
```
KGaP2Cl
1.0
6.1388 0.0000 0.0000
0.0000 6.1388 0.0000
0.0000 0.0000 5.6715
P Cl Ga K
2 1 1 1
direct
0.5000 0.0000 0.0000
0.0000 0.5000 0.0000
0.0000 0.0000 0.5000
0.5000 0.5000 0.5000
0.0000 0.0000 0.0000
```

***

[3]
Density functional theory data (PBE) for an optimized crystal structure of Ac2CePrPt4.

Results
SG: P2/m, No. 10
Formation enthalpy at 0 K in kJ per mole of atoms: -106.6

Structure (POSCAR):
```
Ac2CePrPt4
1.0
-0.9103 3.2030 -2.6922
0.2951 -4.7476 -5.7481
-6.9121 0.2604 2.6470
Pt Pr Ac Ce
4 1 2 1
direct
0.0000 0.2625 0.7685
0.5000 0.7478 0.7639
0.5000 0.2522 0.2361
0.0000 0.7375 0.2315
0.0000 0.0000 0.0000
0.0000 0.5000 0.5000
0.5000 0.0000 0.5000
0.5000 0.5000 0.0000
```

***

[4]
Density functional theory data (PBE) for an optimized crystal structure of Si2WSe.

Results
ΔE_f (raw) in eV/f.u.: 0.2
SG: Cm, No. 8

Structure (POSCAR):
```
Si2WSe
1.0
6.8429 0.0000 -0.0046
0.0000 3.3454 0.0000
-3.0046 0.0000 12.5443
Se W Si
4 4 8
direct
0.8400 0.0000 0.7017
0.8570 0.5000 0.4910
0.8400 0.5000 0.2017
0.8570 0.0000 0.9910
0.4636 0.0000 0.9124
0.7758 0.5000 0.8422
0.4636 0.5000 0.4124
0.7758 0.0000 0.3422
0.2653 0.0000 0.0682
0.1691 0.0000 0.3780
0.2653 0.5000 0.5682
0.5198 0.0000 0.5720
0.4108 0.5000 0.7540
0.4108 0.0000 0.2540
0.5198 0.5000 0.0720
0.1691 0.5000 0.8780
```

***

[5]
Density functional theory data (PBE) for an optimized crystal structure of SrBiSeN2.

Results
ΔE_f (raw) in eV/f.u.: 6.8
SG: P4/mmm, No. 123

Structure (POSCAR):
```
SrBiSeN2
1.0
4.4151 0.0000 0.0000
0.0000 4.4151 0.0000
0.0000 0.0000 5.9331
Se Sr N Bi
1 1 2 1
direct
0.0000 0.0000 0.5000
0.0000 0.0000 0.0000
0.5000 0.0000 0.0000
0.0000 0.5000 0.0000
0.5000 0.5000 0.5000
```

***

[6]
Density functional theory data (PBE) for an optimized crystal structure of Cs2SnTe.

Results
ΔE_f (raw) in eV/f.u.: -0.8
SG: Fm-3m, No. 225

Structure (POSCAR):
```
Cs2SnTe
1.0
2.9219 -4.0837 4.1240
0.8681 1.7188 6.2059
-3.4423 -2.8999 4.6864
Cs Sn Te
2 1 1
direct
0.2500 0.2500 0.2500
0.7500 0.7500 0.7500
0.0000 0.0000 0.0000
0.5000 0.5000 0.5000
```

***

[7]
Density functional theory data (PBE) for an optimized crystal structure of Fe3SeI.

Results
ΔE_f (raw) in eV/f.u.: 3.6
SG: Pm-3m, No. 221

Structure (POSCAR):
```
Fe3SeI
1.0
4.6578 0.0000 0.0000
0.0000 4.6578 0.0000
0.0000 0.0000 4.6578
Fe I Se
3 1 1
direct
0.0000 0.0000 0.5000
0.0000 0.5000 0.0000
0.5000 0.0000 0.0000
0.5000 0.5000 0.5000
0.0000 0.0000 0.0000
```